# 1
# LaErCuPb (PBE, optimized geometry)
data_LaErCuPb
_chemical_formula_sum 'La4 Er4 Cu4 Pb4'
_cell_length_a 7.5347
_cell_length_b 7.5347
_cell_length_c 7.5347
_cell_angle_alpha 90.00
_cell_angle_beta 90.00
_cell_angle_gamma 90.00
_space_group_name_H-M_alt 'F -4 3 m'
_space_group_IT_number 216
_space_group_name_Hall 'F -4 2 3'
loop_
_atom_site_label
_atom_site_type_symbol
_atom_site_fract_x
_atom_site_fract_y
_atom_site_fract_z
_atom_site_occupancy
La1 La 0.0000 0.0000 0.0000 1
Er1 Er 0.0000 0.0000 0.5000 1
Cu1 Cu 0.2500 0.2500 0.2500 1
Pb1 Pb 0.2500 0.2500 0.7500 1
# DFT formation energy, eV/atom: -0.294
# Total moment, μB/f.u.: 0.0



# 2
# LaErCuPd (PBE, optimized geometry)
data_LaErCuPd
_chemical_formula_sum 'La4 Er4 Cu4 Pd4'
_cell_length_a 7.1539
_cell_length_b 7.1539
_cell_length_c 7.1539
_cell_angle_alpha 90.00
_cell_angle_beta 90.00
_cell_angle_gamma 90.00
_space_group_name_H-M_alt 'F -4 3 m'
_space_group_IT_number 216
_space_group_name_Hall 'F -4 2 3'
loop_
_atom_site_label
_atom_site_type_symbol
_atom_site_fract_x
_atom_site_fract_y
_atom_site_fract_z
_atom_site_occupancy
La1 La 0.0000 0.0000 0.0000 1
Er1 Er 0.0000 0.0000 0.5000 1
Cu1 Cu 0.2500 0.2500 0.7500 1
Pd1 Pd 0.2500 0.2500 0.2500 1
# DFT formation energy, eV/atom: -0.503
# Total moment, μB/f.u.: 0.0
# Distance to the lowest polymorph of the same formula, meV/atom: 37